(1)
A relaxed AcPmPCl crystal, computed with GGA-PBE.

Cell and atoms, written as POSCAR:
```
AcPmPCl
1.0
-1.141 4.203 2.800
-3.353 3.497 -1.828
-4.680 0.478 2.164
Cl Ac P Pm
1 1 1 1
Direct
0.500 0.500 0.500
0.750 0.750 0.750
0.000 0.000 0.000
0.250 0.250 0.250
```

Properties
The value obtained for the energy relative to the lowest polymorph listed for this composition is 244 meV per atom.

***

(2)
A relaxed AcPmPCl crystal, computed with GGA-PBE.

Cell and atoms, written as POSCAR:
```
AcPmPCl
1.0
-1.129 -2.396 -3.168
3.783 1.656 0.092
2.081 -5.074 5.784
Pm P Cl Ac
1 1 1 1
Direct
0.112 0.954 0.081
0.318 0.557 0.891
0.955 0.375 0.345
0.493 0.145 0.653
```

Properties
The value obtained for the energy relative to the lowest polymorph listed for this composition is 0 meV per atom.

***

(3)
A relaxed AcPrPCl crystal, computed with GGA-PBE.

Cell and atoms, written as POSCAR:
```
AcPrPCl
1.0
-0.530 -4.870 -1.781
2.492 -3.924 2.359
-2.688 -3.508 2.764
Ac Pr Cl P
1 1 1 1
Direct
0.500 0.500 0.500
0.000 0.000 0.000
0.750 0.750 0.750
0.250 0.250 0.250
```

Properties
The value obtained for the energy relative to the lowest polymorph listed for this composition is 225 meV per atom.

***

(4)
A relaxed AcPrPCl crystal, computed with GGA-PBE.

Cell and atoms, written as POSCAR:
```
AcPrPCl
1.0
-2.160 -3.561 -0.233
4.155 -0.100 0.374
-0.631 2.324 7.629
P Cl Ac Pr
1 1 1 1
Direct
0.314 0.555 0.885
0.959 0.377 0.351
0.493 0.144 0.653
0.112 0.954 0.081
```

Properties
The value obtained for the energy relative to the lowest polymorph listed for this composition is 0 meV per atom.

***

(5)
A relaxed Ac8PPt3Cl4 crystal, computed with GGA-PBE.

Cell and atoms, written as POSCAR:
```
Ac8PPt3Cl4
1.0
8.902 0.000 0.000
0.000 9.210 0.211
-4.451 -4.450 6.296
Ac Pt Cl P
8 3 4 1
Direct
0.267 0.285 0.026
0.733 0.715 0.974
0.736 0.708 0.472
0.241 0.715 0.482
0.241 0.715 0.974
0.759 0.285 0.026
0.759 0.285 0.518
0.264 0.292 0.528
0.500 0.500 0.500
0.000 0.500 0.500
0.500 0.500 0.000
0.000 0.000 0.500
0.000 0.000 0.000
0.500 0.000 0.000
0.500 0.000 0.500
0.000 0.500 0.000
```

***

(6)
A relaxed AcPuPCl crystal, computed with GGA-PBE.

Cell and atoms, written as POSCAR:
```
AcPuPCl
1.0
5.174 0.000 0.000
2.587 4.481 0.000
2.587 1.494 4.224
Pu Ac P Cl
1 1 1 1
Direct
0.750 0.750 0.750
0.250 0.250 0.250
0.000 0.000 0.000
0.500 0.500 0.500
```

***

(7)
A relaxed Ac4PRhCl2 crystal, computed with GGA-PBE.

Cell and atoms, written as POSCAR:
```
Ac4PRhCl2
1.0
-1.746 2.825 2.676
-3.084 -5.937 4.255
6.990 1.551 2.923
Ac Cl Rh P
4 2 1 1
Direct
0.000 0.273 0.786
0.500 0.242 0.223
0.000 0.727 0.214
0.500 0.758 0.777
0.500 0.000 0.500
0.000 0.500 0.500
0.500 0.500 0.000
0.000 0.000 0.000
```

***

(8)
A relaxed Ac6PRh2Cl2 crystal, computed with GGA-PBE.

Cell and atoms, written as POSCAR:
```
Ac6PRh2Cl2
1.0
-0.340 3.311 -6.859
-6.067 0.608 4.577
4.753 4.905 3.539
Cl Ac P Rh
2 6 1 2
Direct
0.844 0.156 0.000
0.156 0.844 0.000
0.587 0.925 0.279
0.075 0.413 0.721
0.925 0.587 0.279
0.282 0.282 0.282
0.413 0.075 0.721
0.718 0.718 0.718
0.000 0.000 0.500
0.671 0.329 0.500
0.329 0.671 0.500
```

***

(9)
A relaxed Ac6PRh2Cl3 crystal, computed with GGA-PBE.

Cell and atoms, written as POSCAR:
```
Ac6PRh2Cl3
1.0
-1.533 -6.238 -4.078
3.048 -0.652 6.941
-7.680 1.996 2.182
P Cl Ac Rh
1 3 6 2
Direct
0.000 0.000 0.000
0.838 0.162 0.500
0.500 0.500 0.500
0.162 0.838 0.500
0.068 0.413 0.206
0.932 0.587 0.794
0.587 0.932 0.794
0.276 0.276 0.794
0.413 0.068 0.206
0.724 0.724 0.206
0.667 0.333 0.000
0.333 0.667 0.000
```

***

(10)
A relaxed Ac6PRu2Cl2 crystal, computed with GGA-PBE.

Cell and atoms, written as POSCAR:
```
Ac6PRu2Cl2
1.0
7.603 0.069 0.113
-3.697 6.643 0.113
-1.361 -2.339 7.318
Ac Cl Ru P
6 2 2 1
Direct
0.584 0.928 0.284
0.072 0.416 0.716
0.416 0.072 0.716
0.717 0.717 0.711
0.928 0.584 0.284
0.283 0.283 0.289
0.841 0.159 0.000
0.159 0.841 0.000
0.672 0.328 0.500
0.328 0.672 0.500
0.000 0.000 0.500
```

***

(11)
A relaxed Ac4PRuCl2 crystal, computed with GGA-PBE.

Cell and atoms, written as POSCAR:
```
Ac4PRuCl2
1.0
-2.168 3.344 1.535
-4.273 -4.822 4.468
6.266 2.048 4.389
Cl Ac Ru P
2 4 1 1
Direct
0.500 0.000 0.500
0.000 0.500 0.500
0.500 0.248 0.209
0.500 0.752 0.791
0.000 0.722 0.209
0.000 0.278 0.791
0.500 0.500 0.000
0.000 0.000 0.000
```

***

(12)
A relaxed Ac6P2RuCl3 crystal, computed with GGA-PBE.

Cell and atoms, written as POSCAR:
```
Ac6P2RuCl3
1.0
4.298 0.000 0.000
0.000 9.237 0.357
-2.149 -2.621 9.282
Ac Cl P Ru
6 3 2 1
Direct
0.673 0.565 0.346
0.346 0.903 0.693
0.996 0.775 0.992
0.327 0.435 0.654
0.004 0.225 0.008
0.654 0.097 0.307
0.829 0.173 0.659
0.171 0.827 0.341
0.500 0.500 0.000
0.834 0.665 0.668
0.166 0.335 0.332
0.500 0.000 0.000
```

***

Per-record formation energy from raw total energies, eV/atom: -1.3063, -1.5499, -1.3281, -1.5529, -1.4174, -1.1346, -1.3384, -1.1016, -1.2983, -0.9118, -1.2209, -1.3351
Per-record Fermi-level density of states, states/eV per atom: 0.787, 0.417, 0.771, 0.430, 0.758, 2.082, 0.795, 0.842, 0.422, 0.901, 0.602, 0.514